! PBE Ce5AsP4, relaxed; values from VASP
&SYSTEM
  ibrav = 0, nat = 10, ntyp = 3
/
ATOMIC_SPECIES
Ce 140.12 Ce.upf
As 74.92 As.upf
P 30.97 P.upf
CELL_PARAMETERS angstrom
-2.056 2.911 10.294
2.056 -2.911 10.294
2.056 2.911 -10.294
ATOMIC_POSITIONS angstrom
Ce 0.000 0.000 0.000
Ce 0.000 0.000 4.112
Ce 0.000 0.000 8.165
Ce 0.000 0.000 12.422
Ce 0.000 0.000 16.476
As 0.000 2.911 0.000
P 2.056 0.000 2.059
P 2.056 0.000 6.151
P 0.000 2.911 4.143
P 0.000 2.911 8.235
! Uncorrected energy, eV per atom: -7.074
! DFT formation energy, eV per atom: -1.48
! SG: Immm, No. 71



! PBE TePdWI2, relaxed; values from VASP
&SYSTEM
  ibrav = 0, nat = 5, ntyp = 4
/
ATOMIC_SPECIES
Te 127.60 Te.upf
Pd 106.42 Pd.upf
W 183.84 W.upf
I 126.90 I.upf
CELL_PARAMETERS angstrom
5.648 0.000 0.000
0.000 5.648 0.000
0.000 0.000 5.174
ATOMIC_POSITIONS angstrom
Te 0.000 0.000 0.000
Pd 2.824 2.824 0.000
W 0.000 0.000 2.587
I 0.000 2.824 2.587
I 2.824 0.000 2.587
! Uncorrected energy, eV per atom: -3.955
! SG: P4/mmm, No. 123
! Raw formation energy, eV per atom: 0.923



! PBE NdScPtRh, relaxed; values from VASP
&SYSTEM
  ibrav = 0, nat = 4, ntyp = 4
/
ATOMIC_SPECIES
Nd 144.24 Nd.upf
Sc 44.96 Sc.upf
Pt 195.08 Pt.upf
Rh 102.91 Rh.upf
CELL_PARAMETERS angstrom
0.000 3.435 3.435
3.435 0.000 3.435
3.435 3.435 0.000
ATOMIC_POSITIONS angstrom
Nd 0.000 0.000 0.000
Sc 3.435 3.435 3.435
Pt 5.152 5.152 5.152
Rh 1.717 1.717 1.717
! Uncorrected energy, eV per atom: -6.949
! DFT formation energy, eV per atom: -0.83
! SG: F-43m, No. 216



! PBE MnS2, relaxed; values from VASP
&SYSTEM
  ibrav = 0, nat = 3, ntyp = 2
/
ATOMIC_SPECIES
Mn 54.94 Mn.upf
S 32.06 S.upf
CELL_PARAMETERS angstrom
-1.402 1.402 6.372
1.402 -1.402 6.372
1.402 1.402 -6.372
ATOMIC_POSITIONS angstrom
Mn 0.000 0.000 0.000
S 0.000 0.000 4.998
S 0.000 0.000 7.747
! Uncorrected energy, eV per atom: -5.915
! SG: I4/mmm, No. 139
! Raw formation energy, eV per atom: -0.107



! PBE ZrSc2Tc, relaxed; values from VASP
&SYSTEM
  ibrav = 0, nat = 4, ntyp = 3
/
ATOMIC_SPECIES
Zr 91.22 Zr.upf
Sc 44.96 Sc.upf
Tc 98.00 Tc.upf
CELL_PARAMETERS angstrom
-2.410 2.410 3.417
2.410 -2.410 3.417
2.410 2.410 -3.417
ATOMIC_POSITIONS angstrom
Zr 0.000 0.000 0.000
Sc 2.410 0.000 1.708
Sc 0.000 0.000 3.417
Tc 0.000 2.410 1.708
! Uncorrected energy, eV per atom: -7.970
! DFT formation energy, eV per atom: -0.08
! SG: I-4m2, No. 119



! PBE BaZr3Cd, relaxed; values from VASP
&SYSTEM
  ibrav = 0, nat = 5, ntyp = 3
/
ATOMIC_SPECIES
Ba 137.33 Ba.upf
Zr 91.22 Zr.upf
Cd 112.41 Cd.upf
CELL_PARAMETERS angstrom
5.455 0.000 0.000
0.000 5.455 0.000
0.000 0.000 5.455
ATOMIC_POSITIONS angstrom
Ba 0.000 0.000 0.000
Zr 0.000 2.728 2.728
Zr 2.728 0.000 2.728
Zr 2.728 2.728 0.000
Cd 2.728 2.728 2.728
! Uncorrected energy, eV per atom: -4.736
! DFT formation energy, eV per atom: 0.96
! SG: Pm-3m, No. 221



! PBE Cs3H6Pd, relaxed; values from VASP
&SYSTEM
  ibrav = 0, nat = 10, ntyp = 3
/
ATOMIC_SPECIES
Cs 132.91 Cs.upf
H 1.01 H.upf
Pd 106.42 Pd.upf
CELL_PARAMETERS angstrom
0.000 4.193 5.461
4.187 0.000 5.461
4.187 4.193 0.000
ATOMIC_POSITIONS angstrom
Cs 0.000 0.000 0.000
Cs 2.094 2.096 2.731
Cs 6.281 6.289 8.192
H 5.376 3.007 5.461
H 4.187 4.193 3.703
H 2.999 3.007 5.461
H 5.376 5.379 5.461
H 4.187 4.193 7.220
H 2.999 5.379 5.461
Pd 4.187 4.193 5.461
! Uncorrected energy, eV per atom: -2.938
! SG: Fmmm, No. 69



! PBE Ni8Ag, relaxed; values from VASP
&SYSTEM
  ibrav = 0, nat = 9, ntyp = 2
/
ATOMIC_SPECIES
Ni 58.69 Ni.upf
Ag 107.87 Ag.upf
CELL_PARAMETERS angstrom
-4.462 4.462 1.330
4.462 -4.462 1.330
4.462 4.462 -1.330
ATOMIC_POSITIONS angstrom
Ni 2.983 0.000 0.000
Ni 5.941 0.000 0.000
Ni 2.902 2.902 0.000
Ni 1.560 -1.560 1.330
Ni 0.000 2.983 0.000
Ni 0.000 5.941 0.000
Ni -1.560 1.560 1.330
Ni 1.560 1.560 1.330
Ag 0.000 0.000 0.000
! Uncorrected energy, eV per atom: -5.270
! DFT formation energy, eV per atom: 0.19
! SG: I4/mmm, No. 139



Which of these has the lowest uncorrected energy? ZrSc2Tc



Among the records above, which one has the highest uncorrected energy? Cs3H6Pd